Arrangement 1

Mg2TeCl, optimized geometry, DFT PBE-GGA; mass density = 3.75 g/cm3; total magnetic moment = 0.00 μB/f.u.; N(E_F) = 1.48 states/eV/cell
1.0
5.0318 0.0000 0.0000
0.0000 5.0318 0.0000
0.0000 0.0000 3.7012
Mg Te Cl
2 1 1
direct
0.0000 0.5000 0.0000
0.5000 0.0000 0.0000
0.0000 0.0000 0.5000
0.5000 0.5000 0.5000

---

Arrangement 2

Mg2TeCl, optimized geometry, DFT PBE-GGA; mass density = 2.90 g/cm3; total magnetic moment = 0.00 μB/f.u.; N(E_F) = 1.19 states/eV/cell
1.0
2.0507 -3.8387 0.0000
2.0507 3.8387 0.0000
0.0000 0.0000 7.6960
Mg Te Cl
2 1 1
direct
0.0000 0.0000 0.2495
0.0000 0.0000 0.7505
0.5000 0.5000 0.0000
0.5000 0.5000 0.5000

---

Arrangement 3

Mg2TeCl, optimized geometry, DFT PBE-GGA; mass density = 3.34 g/cm3; total magnetic moment = 0.00 μB/f.u.; N(E_F) = 1.43 states/eV/cell
1.0
4.2315 0.0000 0.0000
0.0000 5.8361 0.0000
-0.0189 0.0000 4.2563
Mg Te Cl
2 1 1
direct
0.0000 0.0000 0.0000
0.3916 0.5000 0.5041
0.5049 0.0000 0.4999
0.0230 0.5000 0.0005

---

Arrangement 4

Mg2TeCl, optimized geometry, DFT PBE-GGA; mass density = 3.08 g/cm3; total magnetic moment = 0.14 μB/f.u.; N(E_F) = 1.51 states/eV/cell
1.0
7.0249 -2.0188 0.0000
7.0249 2.0188 0.0000
-1.2580 0.0000 4.0248
Mg Te Cl
2 1 1
direct
0.0000 0.0000 0.0000
0.1898 0.1898 0.6954
0.6594 0.6594 0.1652
0.3797 0.3797 0.8828

---

The calculated energies rank the structures as follows, beginning with the most stable: arrangement 4, arrangement 3, arrangement 1, arrangement 2.

---

Arrangement 1

MgTe3Cl, optimized geometry, DFT PBE-GGA; mass density = 4.65 g/cm3; total magnetic moment = 0.00 μB/f.u.; N(E_F) = 4.88 states/eV/cell
1.0
5.4070 0.0000 0.0000
0.0000 5.4070 0.0000
0.0000 0.0000 5.4070
Mg Te Cl
1 3 1
direct
0.0000 0.0000 0.0000
0.0000 0.5000 0.5000
0.5000 0.0000 0.5000
0.5000 0.5000 0.0000
0.5000 0.5000 0.5000

---

Arrangement 2

MgTe3Cl, optimized geometry, DFT PBE-GGA; mass density = 4.64 g/cm3; total magnetic moment = 0.00 μB/f.u.; N(E_F) = 3.82 states/eV/cell
1.0
5.4105 0.0000 0.0000
0.0000 5.4105 0.0000
0.0000 0.0000 5.4105
Mg Te Cl
1 3 1
direct
0.0000 0.0000 0.0000
0.0000 0.0000 0.5000
0.0000 0.5000 0.0000
0.5000 0.0000 0.0000
0.5000 0.5000 0.5000

---

The calculated energies rank the structures as follows, beginning with the most stable: arrangement 2, arrangement 1.

---

Arrangement 1

MgTiCl3, optimized geometry, DFT PBE-GGA; mass density = 2.43 g/cm3; total magnetic moment = 2.29 μB/f.u.; N(E_F) = 4.29 states/eV/cell
1.0
4.9598 0.0000 0.0000
0.0000 4.9598 0.0000
0.0000 0.0000 4.9598
Mg Ti Cl
1 1 3
direct
0.0000 0.0000 0.0000
0.5000 0.5000 0.5000
0.0000 0.5000 0.5000
0.5000 0.0000 0.5000
0.5000 0.5000 0.0000

---

Arrangement 2

MgTiCl3, optimized geometry, DFT PBE-GGA; mass density = 2.51 g/cm3; total magnetic moment = 3.00 μB/f.u.; N(E_F) = 6.49 states/eV/cell
1.0
4.9049 0.0000 0.0000
0.0000 4.9049 0.0000
0.0000 0.0000 4.9049
Mg Ti Cl
1 1 3
direct
0.0000 0.0000 0.0000
0.5000 0.5000 0.5000
0.0000 0.0000 0.5000
0.0000 0.5000 0.0000
0.5000 0.0000 0.0000

---

The calculated energies rank the structures as follows, beginning with the most stable: arrangement 1, arrangement 2.

---

Arrangement 1

Mg3TiCl, optimized geometry, DFT PBE-GGA; mass density = 2.16 g/cm3; total magnetic moment = 2.68 μB/f.u.; N(E_F) = 4.37 states/eV/cell
1.0
4.9313 0.0000 0.0000
0.0000 4.9313 0.0000
0.0000 0.0000 4.9313
Mg Ti Cl
3 1 1
direct
0.0000 0.0000 0.5000
0.0000 0.5000 0.0000
0.5000 0.0000 0.0000
0.5000 0.5000 0.5000
0.0000 0.0000 0.0000

---

Arrangement 2

Mg3TiCl, optimized geometry, DFT PBE-GGA; mass density = 1.44 g/cm3; total magnetic moment = 2.89 μB/f.u.; N(E_F) = 14.30 states/eV/cell
1.0
5.6450 0.0000 0.0000
0.0000 5.6450 0.0000
0.0000 0.0000 5.6450
Mg Ti Cl
3 1 1
direct
0.0000 0.0000 0.5000
0.0000 0.5000 0.0000
0.5000 0.0000 0.0000
0.0000 0.0000 0.0000
0.5000 0.5000 0.5000

---

The calculated energies rank the structures as follows, beginning with the most stable: arrangement 1, arrangement 2.